i.
BaCuW2: relaxed, GGA-PBEsol.

a = 4.7287 Å, b = 4.7287 Å, c = 4.7287 Å
α = 60.00°, β = 60.00°, γ = 60.00°
With the nearest neighbours (Å) after each atom.
Element x y z (fractional)
Ba 0.5000 0.5000 0.5000  4 W 2.90, 4 Cu 2.90
W 0.0000 0.0000 0.0000  4 Cu 2.90, 4 W 2.90
W 0.7500 0.7500 0.7500  4 Ba 2.90, 4 W 2.90
Cu 0.2500 0.2500 0.2500  4 Ba 2.90, 4 W 2.90

=====

ii.
BaCuW2: relaxed, GGA-PBEsol.

a = 3.9051 Å, b = 3.9051 Å, c = 5.1900 Å
α = 90.00°, β = 90.00°, γ = 90.00°
With the nearest neighbours (Å) after each atom.
Element x y z (fractional)
Cu 0.0000 0.0000 0.5000  4 Ba 2.76
W 0.5000 0.0000 0.0000  4 W 2.76
W 0.0000 0.5000 0.0000  4 W 2.76
Ba 0.5000 0.5000 0.5000  4 Cu 2.76

=====

iii.
BaCuW2: relaxed, GGA-PBEsol.

a = 3.3046 Å, b = 3.3046 Å, c = 7.4559 Å
α = 90.00°, β = 90.00°, γ = 90.00°
With the nearest neighbours (Å) after each atom.
Element x y z (fractional)
Cu 0.5000 0.5000 0.5000  8 W 2.61
W 0.0000 0.0000 0.3447  1 W 2.32
W 0.0000 0.0000 0.6553  1 W 2.32
Ba 0.5000 0.5000 0.0000  4 Ba 3.30, 8 W 3.47

=====

Relative energies with respect to the most stable structure, expressed in kJ/mol of atoms: i 25.3; ii 45.1; iii 0.0.

=====

i.
BaCu2W: relaxed, GGA-PBEsol.

a = 4.8280 Å, b = 4.8280 Å, c = 4.8280 Å
α = 60.00°, β = 60.00°, γ = 60.00°
With the nearest neighbours (Å) after each atom.
Element x y z (fractional)
Cu 0.7500 0.7500 0.7500  4 Ba 2.96, 4 W 2.96
Cu 0.2500 0.2500 0.2500  4 W 2.96, 4 Ba 2.96
Ba 0.0000 0.0000 0.0000  8 Cu 2.96
W 0.5000 0.5000 0.5000  8 Cu 2.96

=====

ii.
BaCu2W: relaxed, GGA-PBEsol.

a = 3.1048 Å, b = 3.1042 Å, c = 7.6793 Å
α = 90.00°, β = 90.00°, γ = 90.00°
With the nearest neighbours (Å) after each atom.
Element x y z (fractional)
Cu 0.0000 0.0000 0.1797  4 W 2.59, 1 Cu 2.76
Cu 0.0000 0.0000 0.8203  4 W 2.59, 1 Cu 2.76
Ba 0.5000 0.5000 0.5000  4 Ba 3.10, 8 Cu 3.30
W 0.5000 0.5000 0.0000  8 Cu 2.59

=====

iii.
BaCu2W: relaxed, GGA-PBEsol.

a = 4.7229 Å, b = 4.7229 Å, c = 4.7229 Å
α = 60.00°, β = 60.00°, γ = 60.00°
With the nearest neighbours (Å) after each atom.
Element x y z (fractional)
Ba 0.5000 0.5000 0.5000  4 Cu 2.89, 4 W 2.89
Cu 0.0000 0.0000 0.0000  4 W 2.89, 4 Cu 2.89
Cu 0.7500 0.7500 0.7500  4 Ba 2.89, 4 Cu 2.89
W 0.2500 0.2500 0.2500  4 Ba 2.89, 4 Cu 2.89

=====

iv.
BaCu2W: relaxed, GGA-PBEsol.

a = 2.9790 Å, b = 4.3832 Å, c = 6.6227 Å
α = 96.98°, β = 90.00°, γ = 109.87°
With the nearest neighbours (Å) after each atom.
Element x y z (fractional)
Cu 0.7436 0.4871 0.2508  3 W 2.47-2.53, 3 Cu 2.48-2.63
Cu 0.0212 0.0425 0.0955  3 Cu 2.48-2.63, 2 W 2.51
Ba 0.2552 0.5103 0.7634  2 Ba 2.98, 3 Cu 3.11-3.26, 1 W 3.28
W 0.4800 0.9601 0.3903  5 Cu 2.47-2.53

=====

Relative energies with respect to the most stable structure, expressed in kJ/mol of atoms: i 59.3; ii 0.0; iii 77.2; iv 20.6.

=====

i.
BaDyFe4O7: relaxed, GGA-PBEsol.

a = 6.1988 Å, b = 6.3058 Å, c = 6.1988 Å
α = 60.56°, β = 90.00°, γ = 119.44°
With the nearest neighbours (Å) after each atom.
Element x y z (fractional)
Fe 0.5964 0.2274 0.6182  4 O 1.92-2.07
Fe 0.1544 0.7726 0.5964  4 O 1.92-2.07
Fe 0.6182 0.7726 0.6310  4 O 1.92-2.07
Fe 0.6310 0.2274 0.1544  4 O 1.92-2.07
Dy 0.0000 0.0000 0.0000  6 O 2.23-2.24
O 0.6762 0.9449 0.8288  2 Fe 1.92-1.93
O 0.7535 0.5070 0.2465  2 Fe 1.92
O 0.8288 0.0551 0.2687  2 Fe 1.92-1.93
O 0.2263 0.0551 0.6762  2 Fe 1.92-1.93
O 0.2465 0.4930 0.7535  2 Fe 1.92
O 0.2687 0.9449 0.2263  2 Fe 1.92-1.93
O 0.7500 0.5000 0.7500  4 Fe 2.07
Ba 0.2500 0.5000 0.2500  4 O 2.68

=====

ii.
BaDyFe4O7: relaxed, GGA-PBEsol.

a = 6.2757 Å, b = 6.2673 Å, c = 8.9386 Å
α = 90.00°, β = 90.00°, γ = 90.28°
With the nearest neighbours (Å) after each atom.
Element x y z (fractional)
Ba 0.7656 0.2804 0.4991  6 O 2.66-2.85
Ba 0.2344 0.7196 0.9991  6 O 2.66-2.85
O 0.7603 0.7171 0.4990  2 Fe 1.91-1.92
O 0.2397 0.2829 0.9990  2 Fe 1.91-1.92
O 0.7902 0.7467 0.0028  2 Fe 1.91-1.95
O 0.4674 0.5392 0.7745  2 Fe 1.90-1.93
O 0.4410 0.9294 0.2135  2 Fe 1.91-1.95
O 0.0145 0.5235 0.2426  2 Fe 1.93-1.94
O 0.9855 0.4765 0.7426  2 Fe 1.93-1.94
O 0.0620 0.9580 0.7815  2 Fe 1.93-1.94
O 0.5590 0.0706 0.7135  2 Fe 1.91-1.95
O 0.2455 0.7570 0.4929  3 Fe 2.00-2.07
O 0.5326 0.4608 0.2745  2 Fe 1.90-1.93
O 0.7545 0.2430 0.9929  3 Fe 2.00-2.07
O 0.9380 0.0420 0.2815  2 Fe 1.93-1.94
O 0.2098 0.2533 0.5028  2 Fe 1.91-1.95
Fe 0.9973 0.7430 0.6343  4 O 1.92-2.01
Fe 0.2264 0.0232 0.3573  4 O 1.94-2.07
Fe 0.0027 0.2570 0.1343  4 O 1.92-2.01
Fe 0.7736 0.9768 0.8573  4 O 1.94-2.07
Fe 0.7406 0.5109 0.8718  4 O 1.91-2.00
Fe 0.2594 0.4891 0.3718  4 O 1.91-2.00
Fe 0.4280 0.2251 0.1613  3 O 1.90-1.91
Fe 0.5720 0.7749 0.6613  3 O 1.90-1.91
Dy 0.7392 0.7511 0.2513  6 O 2.21-2.25
Dy 0.2608 0.2489 0.7513  6 O 2.21-2.25

=====

Relative energies with respect to the most stable structure, expressed in kJ/mol of atoms: i 0.9; ii 0.0.

=====

i.
BaSrNF2: relaxed, GGA-PBEsol.

a = 4.5544 Å, b = 4.5544 Å, c = 4.8817 Å
α = 90.00°, β = 90.00°, γ = 90.00°
With the nearest neighbours (Å) after each atom.
Element x y z (fractional)
Sr 0.0000 0.0000 0.0000  4 F 2.28, 2 N 2.44
F 0.0000 0.5000 0.0000  2 Sr 2.28
F 0.5000 0.0000 0.0000  2 Sr 2.28
N 0.0000 0.0000 0.5000  2 Sr 2.44
Ba 0.5000 0.5000 0.5000  4 N 3.22, 8 F 3.34

=====

ii.
BaSrNF2: relaxed, GGA-PBEsol.

a = 4.3670 Å, b = 4.3670 Å, c = 11.4030 Å
α = 90.00°, β = 90.00°, γ = 90.00°
With the nearest neighbours (Å) after each atom.
Element x y z (fractional)
F 0.5000 0.0000 0.0000  2 Sr 2.18
F 0.0000 0.5000 0.0000  2 Sr 2.18
Sr 0.0000 0.0000 0.0000  4 F 2.18
Ba 0.0000 0.0000 0.5000  4 N 3.09
N 0.5000 0.5000 0.5000  4 Ba 3.09

=====

Relative energies with respect to the most stable structure, expressed in kJ/mol of atoms: i 0.0; ii 46.5.

=====

i.
BaTiNF2: relaxed, GGA-PBEsol.

a = 4.7650 Å, b = 4.7650 Å, c = 4.8907 Å
α = 90.00°, β = 90.00°, γ = 90.00°
With the nearest neighbours (Å) after each atom.
Element x y z (fractional)
F 0.5000 0.0000 0.0000  2 Ba 2.38
F 0.0000 0.5000 0.0000  2 Ba 2.38
Ba 0.0000 0.0000 0.0000  4 F 2.38, 2 N 2.45
Ti 0.5000 0.5000 0.5000  4 N 3.37, 8 F 3.41
N 0.0000 0.0000 0.5000  2 Ba 2.45

=====

ii.
BaTiNF2: relaxed, GGA-PBEsol.

a = 4.0059 Å, b = 4.2066 Å, c = 4.2066 Å
α = 90.00°, β = 90.00°, γ = 90.00°
With the nearest neighbours (Å) after each atom.
Element x y z (fractional)
F 0.0000 0.5000 0.0000  2 Ti 2.10
F 0.0000 0.0000 0.5000  2 Ti 2.10
N 0.5000 0.0000 0.0000  2 Ti 2.00
Ti 0.0000 0.0000 0.0000  2 N 2.00, 4 F 2.10
Ba 0.5000 0.5000 0.5000  8 F 2.90, 4 N 2.97

=====

Relative energies with respect to the most stable structure, expressed in kJ/mol of atoms: i 183.6; ii 0.0.

=====

i.
Ba2YF7: relaxed, GGA-PBEsol.

a = 5.7737 Å, b = 8.7423 Å, c = 12.9743 Å
α = 90.00°, β = 90.00°, γ = 90.69°
With the nearest neighbours (Å) after each atom.
Element x y z (fractional)
F 0.9911 0.8322 0.1062  1 Y 2.24
F 0.2894 0.7136 0.5704  1 Y 2.19
F 0.7026 0.5378 0.6691  1 Y 2.18
F 0.9910 0.3323 0.8151  1 Y 2.24
F 0.8780 0.8760 0.6380  1 Y 2.22
F 0.5190 0.8466 0.1065  1 Y 2.26
F 0.0085 0.4455 0.4766  1 Y 2.23
F 0.2971 0.9623 0.7523  1 Y 2.18
F 0.4810 0.1534 0.6065  1 Y 2.26
F 0.1217 0.6242 0.7833  1 Y 2.22
F 0.0089 0.1678 0.6062  1 Y 2.24
F 0.8783 0.3758 0.2833  1 Y 2.22
F 0.4819 0.9391 0.4585  1 Y 2.24
F 0.0086 0.9456 0.4447  1 Y 2.23
F 0.5181 0.0609 0.9585  1 Y 2.24
F 0.2974 0.4622 0.1691  1 Y 2.18
F 0.2899 0.2136 0.3508  1 Y 2.19
F 0.9914 0.0544 0.9447  1 Y 2.23
F 0.5189 0.3466 0.8148  1 Y 2.26
F 0.7029 0.0377 0.2523  1 Y 2.18
F 0.4819 0.4392 0.4629  1 Y 2.24
F 0.7101 0.7864 0.8508  1 Y 2.19
F 0.5181 0.5608 0.9629  1 Y 2.24
F 0.0090 0.6677 0.3151  1 Y 2.24
F 0.4811 0.6534 0.3148  1 Y 2.26
F 0.1220 0.1240 0.1380  1 Y 2.22
F 0.7106 0.2864 0.0704  1 Y 2.19
F 0.9915 0.5545 0.9766  1 Y 2.23
Ba 0.2612 0.9231 0.2740  9 F 2.62-2.79
Ba 0.7389 0.5769 0.1473  9 F 2.62-2.79
Ba 0.7378 0.6910 0.4891  9 F 2.64-2.80
Ba 0.2622 0.3090 0.9891  9 F 2.64-2.80
Ba 0.2611 0.4231 0.6473  9 F 2.62-2.79
Ba 0.2623 0.8090 0.9322  9 F 2.64-2.80
Ba 0.7388 0.0769 0.7740  9 F 2.62-2.79
Ba 0.7377 0.1910 0.4322  9 F 2.64-2.80
Y 0.7760 0.0414 0.0871  7 F 2.18-2.26
Y 0.7759 0.5414 0.8342  7 F 2.18-2.26
Y 0.2240 0.9586 0.5871  7 F 2.18-2.26
Y 0.2241 0.4586 0.3342  7 F 2.18-2.26

=====

ii.
Ba2YF7: relaxed, GGA-PBEsol.

a = 6.6872 Å, b = 7.5660 Å, c = 7.6758 Å
α = 63.96°, β = 64.18°, γ = 63.77°
With the nearest neighbours (Å) after each atom.
Element x y z (fractional)
F 0.3674 0.7032 0.0450  1 Y 2.30
F 0.9442 0.9101 0.9252  2 Y 2.33-2.47, 2 F 2.55-2.60
F 0.2205 0.4101 0.4252  2 Y 2.33-2.47, 2 F 2.55-2.60
F 0.1156 0.7968 0.4550  1 Y 2.30
F 0.3034 0.9887 0.6381  1 Y 2.25
F 0.6966 0.0113 0.3619  1 Y 2.25
F 0.0558 0.0899 0.0748  2 Y 2.33-2.47, 2 F 2.55-2.60
F 0.3623 0.2500 0.7500  1 Y 2.33, 2 Ba 2.58
F 0.9302 0.5113 0.8619  1 Y 2.25
F 0.6377 0.7500 0.2500  1 Y 2.33, 2 Ba 2.58
F 0.7795 0.5899 0.5748  2 Y 2.33-2.47, 2 F 2.55-2.60
F 0.6326 0.2968 0.9550  1 Y 2.30
F 0.8844 0.2032 0.5450  1 Y 2.30
F 0.0698 0.4887 0.1381  1 Y 2.25
Ba 0.3144 0.0992 0.2593  9 F 2.58-2.86
Ba 0.6856 0.9008 0.7407  9 F 2.58-2.86
Ba 0.6729 0.4008 0.2407  9 F 2.58-2.86
Ba 0.3271 0.5992 0.7593  9 F 2.58-2.86
Y 0.0136 0.2500 0.7500  9 F 2.25-2.47
Y 0.9864 0.7500 0.2500  9 F 2.25-2.47

=====

Relative energies with respect to the most stable structure, expressed in kJ/mol of atoms: i 0.0; ii 3.1.

=====

i.
BaYF5: relaxed, GGA-PBEsol.

a = 5.3372 Å, b = 5.4830 Å, c = 15.1688 Å
α = 90.00°, β = 90.00°, γ = 90.00°
With the nearest neighbours (Å) after each atom.
Element x y z (fractional)
Y 0.9803 0.4562 0.3276  7 F 2.15-2.25
Y 0.0197 0.9562 0.1724  7 F 2.15-2.25
Y 0.5197 0.5438 0.8276  7 F 2.15-2.25
Y 0.4803 0.0438 0.6724  7 F 2.15-2.25
F 0.8681 0.5446 0.9000  1 Y 2.16
F 0.7546 0.7428 0.2586  2 Y 2.24-2.25
F 0.9888 0.6026 0.1100  1 Y 2.16
F 0.1319 0.0446 0.6000  1 Y 2.16
F 0.1374 0.6180 0.4445  1 Y 2.15
F 0.2430 0.7271 0.2667  2 Y 2.24-2.25
F 0.2570 0.2729 0.7667  2 Y 2.24-2.25
F 0.4888 0.8974 0.8900  1 Y 2.16
F 0.2454 0.2428 0.2414  2 Y 2.24-2.25
F 0.5112 0.3974 0.6100  1 Y 2.16
F 0.7570 0.2271 0.2333  2 Y 2.24-2.25
F 0.7454 0.2572 0.7586  2 Y 2.24-2.25
F 0.6374 0.8820 0.5555  1 Y 2.15
F 0.0112 0.1026 0.3900  1 Y 2.16
F 0.7430 0.7729 0.7333  2 Y 2.24-2.25
F 0.2546 0.7572 0.7414  2 Y 2.24-2.25
F 0.3681 0.9554 0.1000  1 Y 2.16
F 0.8626 0.1180 0.0555  1 Y 2.15
F 0.6319 0.4554 0.4000  1 Y 2.16
F 0.3626 0.3820 0.9445  1 Y 2.15
Ba 0.4939 0.9579 0.3952  8 F 2.58-2.87
Ba 0.0061 0.0421 0.8952  8 F 2.58-2.87
Ba 0.5061 0.4579 0.1048  8 F 2.58-2.87
Ba 0.9939 0.5421 0.6048  8 F 2.58-2.87

=====

ii.
BaYF5: relaxed, GGA-PBEsol.

a = 6.2966 Å, b = 6.2966 Å, c = 8.5715 Å
α = 69.99°, β = 69.99°, γ = 71.68°
With the nearest neighbours (Å) after each atom.
Element x y z (fractional)
F 0.9251 0.0749 0.2500  2 Y 2.21
F 0.6998 0.2845 0.9731  1 Y 2.17
F 0.7557 0.7878 0.6165  1 Y 2.12
F 0.0749 0.9251 0.7500  2 Y 2.21
F 0.7878 0.7557 0.1165  1 Y 2.12
F 0.2443 0.2122 0.3835  1 Y 2.12
F 0.2845 0.6998 0.4731  1 Y 2.17
F 0.3002 0.7155 0.0269  1 Y 2.17
F 0.7155 0.3002 0.5269  1 Y 2.17
F 0.2122 0.2443 0.8835  1 Y 2.12
Y 0.0000 0.0000 0.0000  6 F 2.12-2.21
Y 0.0000 0.0000 0.5000  6 F 2.12-2.21
Ba 0.5416 0.4584 0.2500  6 F 2.52-2.70
Ba 0.4584 0.5416 0.7500  6 F 2.52-2.70

=====

Relative energies with respect to the most stable structure, expressed in kJ/mol of atoms: i 0.0; ii 3.2.

=====

i.
BaYF5: relaxed, GGA-PBEsol.

a = 3.8386 Å, b = 3.8386 Å, c = 6.6020 Å
α = 90.00°, β = 90.00°, γ = 90.00°
With the nearest neighbours (Å) after each atom.
Element x y z (fractional)
F 0.0000 0.5000 0.1866  2 Y 2.28, 1 F 2.46
F 0.5000 0.0000 0.1866  2 Y 2.28, 1 F 2.46
F 0.5000 0.0000 0.8134  2 Y 2.28, 1 F 2.46
F 0.0000 0.0000 0.5000  4 Ba 2.71, 8 F 2.82
F 0.0000 0.5000 0.8134  2 Y 2.28, 1 F 2.46
Ba 0.5000 0.5000 0.5000  12 F 2.71-2.82
Y 0.0000 0.0000 0.0000  8 F 2.28

=====

ii.
BaYF5: relaxed, GGA-PBEsol.

a = 5.8018 Å, b = 8.0646 Å, c = 8.9115 Å
α = 90.00°, β = 90.00°, γ = 90.03°
With the nearest neighbours (Å) after each atom.
Element x y z (fractional)
Y 0.9994 0.4002 0.8950  7 F 2.13-2.35
Y 0.0006 0.5998 0.3950  7 F 2.13-2.35
Y 0.4985 0.1018 0.8187  7 F 2.14-2.35
Y 0.5015 0.8982 0.3187  7 F 2.14-2.35
F 0.7402 0.2198 0.9874  2 Y 2.25-2.27, 1 F 2.45
F 0.2303 0.1929 0.9899  2 Y 2.30, 1 F 2.45
F 0.9796 0.4414 0.1562  2 Y 2.35-2.49
F 0.3137 0.5321 0.9376  1 Y 2.14
F 0.7697 0.8071 0.4899  2 Y 2.30, 1 F 2.45
F 0.6863 0.4679 0.4376  1 Y 2.14
F 0.2598 0.7802 0.4874  2 Y 2.25-2.27, 1 F 2.45
F 0.2826 0.8885 0.7947  1 Y 2.14
F 0.5184 0.9420 0.0583  2 Y 2.35-2.50
F 0.0204 0.5586 0.6562  2 Y 2.35-2.49
F 0.7897 0.6158 0.9195  1 Y 2.13
F 0.2372 0.2788 0.7261  2 Y 2.24-2.26, 1 F 2.45
F 0.7628 0.7212 0.2261  2 Y 2.24-2.26, 1 F 2.45
F 0.7174 0.1115 0.2947  1 Y 2.14
F 0.1944 0.0381 0.2769  1 Y 2.14
F 0.4816 0.0580 0.5583  2 Y 2.35-2.50
F 0.2103 0.3842 0.4195  1 Y 2.13
F 0.2693 0.6921 0.2242  2 Y 2.30, 1 F 2.45
F 0.8056 0.9619 0.7769  1 Y 2.14
F 0.7307 0.3079 0.7242  2 Y 2.30, 1 F 2.45
Ba 0.0081 0.8899 0.0294  8 F 2.60-2.88
Ba 0.4886 0.3828 0.1875  8 F 2.60-2.90
Ba 0.9919 0.1101 0.5294  8 F 2.60-2.88
Ba 0.5114 0.6172 0.6875  8 F 2.60-2.90

=====

Relative energies with respect to the most stable structure, expressed in kJ/mol of atoms: i 0.0; ii 2.3.

=====

i.
Ba4Fe: relaxed, GGA-PBEsol.

a = 6.6284 Å, b = 6.6284 Å, c = 6.6284 Å
α = 109.47°, β = 109.47°, γ = 109.47°
With the nearest neighbours (Å) after each atom.
Element x y z (fractional)
Fe 0.0000 0.0000 0.0000  8 Ba 3.31
Ba 0.5000 0.5000 0.5000  2 Fe 3.31
Ba 0.5000 0.0000 0.0000  2 Fe 3.31
Ba 0.0000 0.5000 0.0000  2 Fe 3.31
Ba 0.0000 0.0000 0.5000  2 Fe 3.31

=====

ii.
Ba4Fe: relaxed, GGA-PBEsol.

a = 3.9490 Å, b = 7.7379 Å, c = 7.7379 Å
α = 86.27°, β = 75.22°, γ = 75.22°
With the nearest neighbours (Å) after each atom.
Element x y z (fractional)
Ba 0.5634 0.1851 0.6881  2 Fe 3.36
Ba 0.7485 0.6881 0.8149  2 Fe 3.36
Ba 0.4366 0.8149 0.3119  2 Fe 3.36
Ba 0.2515 0.3119 0.1851  2 Fe 3.36
Fe 0.0000 0.0000 0.0000  8 Ba 3.36

=====

Relative energies with respect to the most stable structure, expressed in kJ/mol of atoms: i 13.9; ii 0.0.